# PBE Pr6Se2S3, relaxed
data_Pr6Se2S3
_symmetry_space_group_name_H-M 'P 1'
_symmetry_Int_Tables_number 1
_cell_length_a 20.5032
_cell_length_b 20.5032
_cell_length_c 20.5032
_cell_angle_alpha 11.55
_cell_angle_beta 11.55
_cell_angle_gamma 11.55
loop_
_symmetry_equiv_pos_as_xyz
'x,y,z'
loop_
_atom_site_label
_atom_site_type_symbol
_atom_site_fract_x
_atom_site_fract_y
_atom_site_fract_z
_atom_site_occupancy
Pr1 Pr 0.0815 0.0815 0.0815 1
Pr2 Pr 0.1913 0.1913 0.1913 1
Pr3 Pr 0.3607 0.3607 0.3607 1
Pr4 Pr 0.6393 0.6393 0.6393 1
Pr5 Pr 0.8087 0.8087 0.8087 1
Pr6 Pr 0.9185 0.9185 0.9185 1
Se1 Se 0.4450 0.4450 0.4450 1
Se2 Se 0.5550 0.5550 0.5550 1
S1 S 0.0000 0.0000 0.0000 1
S2 S 0.2788 0.2788 0.2788 1
S3 S 0.7212 0.7212 0.7212 1
# Density of states at the Fermi level: 5.390 states/eV per cell
# Space-group type: R-3m
# VASP energy: -0.449 Ry/atom


# PBE Pr3Se2S, relaxed
data_Pr3Se2S
_symmetry_space_group_name_H-M 'P 1'
_symmetry_Int_Tables_number 1
_cell_length_a 7.3222
_cell_length_b 7.3222
_cell_length_c 7.3222
_cell_angle_alpha 146.63
_cell_angle_beta 132.06
_cell_angle_gamma 59.66
loop_
_symmetry_equiv_pos_as_xyz
'x,y,z'
loop_
_atom_site_label
_atom_site_type_symbol
_atom_site_fract_x
_atom_site_fract_y
_atom_site_fract_z
_atom_site_occupancy
Pr1 Pr 0.0000 0.0000 0.0000 1
Pr2 Pr 0.3463 0.3463 0.0000 1
Pr3 Pr 0.6537 0.6537 0.0000 1
Se1 Se 0.1715 0.6715 0.5000 1
Se2 Se 0.8285 0.3285 0.5000 1
S1 S 0.5000 0.0000 0.5000 1
# Density of states at the Fermi level: 2.751 states/eV per cell
# Space-group type: Immm
# E above lowest polymorph: 0 meV/atom


# PBE Pr4SeS2, relaxed
data_Pr4SeS2
_symmetry_space_group_name_H-M 'P 1'
_symmetry_Int_Tables_number 1
_cell_length_a 11.1667
_cell_length_b 11.1667
_cell_length_c 11.1667
_cell_angle_alpha 24.91
_cell_angle_beta 24.91
_cell_angle_gamma 24.91
loop_
_symmetry_equiv_pos_as_xyz
'x,y,z'
loop_
_atom_site_label
_atom_site_type_symbol
_atom_site_fract_x
_atom_site_fract_y
_atom_site_fract_z
_atom_site_occupancy
Pr1 Pr 0.1231 0.1231 0.1231 1
Pr2 Pr 0.2954 0.2954 0.2954 1
Pr3 Pr 0.7046 0.7046 0.7046 1
Pr4 Pr 0.8769 0.8769 0.8769 1
Se1 Se 0.0000 0.0000 0.0000 1
S1 S 0.2099 0.2099 0.2099 1
S2 S 0.7901 0.7901 0.7901 1
# Density of states at the Fermi level: 5.300 states/eV per cell
# Space-group type: R-3m
# VASP energy: -0.427 Ry/atom


# PBE Pr4Se3S, relaxed
data_Pr4Se3S
_symmetry_space_group_name_H-M 'P 1'
_symmetry_Int_Tables_number 1
_cell_length_a 5.9820
_cell_length_b 5.9820
_cell_length_c 5.9820
_cell_angle_alpha 90.00
_cell_angle_beta 90.00
_cell_angle_gamma 90.00
loop_
_symmetry_equiv_pos_as_xyz
'x,y,z'
loop_
_atom_site_label
_atom_site_type_symbol
_atom_site_fract_x
_atom_site_fract_y
_atom_site_fract_z
_atom_site_occupancy
Pr1 Pr 0.0000 0.0000 0.0000 1
Pr2 Pr 0.0000 0.5000 0.5000 1
Pr3 Pr 0.5000 0.0000 0.5000 1
Pr4 Pr 0.5000 0.5000 0.0000 1
Se1 Se 0.0000 0.0000 0.5000 1
Se2 Se 0.0000 0.5000 0.0000 1
Se3 Se 0.5000 0.0000 0.0000 1
S1 S 0.5000 0.5000 0.5000 1
# Density of states at the Fermi level: 5.070 states/eV per cell
# Space-group type: Pm-3m
# E above lowest polymorph: 26 meV/atom


# PBE Pr8Se3S4, relaxed
data_Pr8Se3S4
_symmetry_space_group_name_H-M 'P 1'
_symmetry_Int_Tables_number 1
_cell_length_a 8.3402
_cell_length_b 8.3402
_cell_length_c 8.3179
_cell_angle_alpha 119.91
_cell_angle_beta 119.91
_cell_angle_gamma 90.04
loop_
_symmetry_equiv_pos_as_xyz
'x,y,z'
loop_
_atom_site_label
_atom_site_type_symbol
_atom_site_fract_x
_atom_site_fract_y
_atom_site_fract_z
_atom_site_occupancy
Pr1 Pr 0.2414 0.7586 0.0000 1
Pr2 Pr 0.2479 0.2479 0.0140 1
Pr3 Pr 0.2486 0.2486 0.4845 1
Pr4 Pr 0.2590 0.7410 0.5000 1
Pr5 Pr 0.7410 0.2590 0.5000 1
Pr6 Pr 0.7514 0.7514 0.5155 1
Pr7 Pr 0.7521 0.7521 0.9860 1
Pr8 Pr 0.7586 0.2414 0.0000 1
Se1 Se 0.0000 0.0000 0.5000 1
Se2 Se 0.0000 0.5000 0.0000 1
Se3 Se 0.5000 0.0000 0.0000 1
S1 S 0.0000 0.0000 0.0000 1
S2 S 0.0000 0.5000 0.5000 1
S3 S 0.5000 0.0000 0.5000 1
S4 S 0.5000 0.5000 0.5000 1
# Density of states at the Fermi level: 4.914 states/eV per cell
# Space-group type: C2/m
# VASP energy: -0.452 Ry/atom


# PBE Pr4Se3S2, relaxed
data_Pr4Se3S2
_symmetry_space_group_name_H-M 'P 1'
_symmetry_Int_Tables_number 1
_cell_length_a 5.5572
_cell_length_b 5.5572
_cell_length_c 12.4609
_cell_angle_alpha 96.67
_cell_angle_beta 96.67
_cell_angle_gamma 41.84
loop_
_symmetry_equiv_pos_as_xyz
'x,y,z'
loop_
_atom_site_label
_atom_site_type_symbol
_atom_site_fract_x
_atom_site_fract_y
_atom_site_fract_z
_atom_site_occupancy
Pr1 Pr 0.0906 0.0906 0.1653 1
Pr2 Pr 0.3817 0.3817 0.3823 1
Pr3 Pr 0.6183 0.6183 0.6177 1
Pr4 Pr 0.9094 0.9094 0.8347 1
Se1 Se 0.1059 0.1059 0.4113 1
Se2 Se 0.5000 0.5000 0.0000 1
Se3 Se 0.8941 0.8941 0.5887 1
S1 S 0.1948 0.1948 0.7804 1
S2 S 0.8052 0.8052 0.2196 1
# Density of states at the Fermi level: 4.362 states/eV per cell
# Space-group type: C2/m
# E above lowest polymorph: 0 meV/atom


# PBE Pr4Se3S2, relaxed
data_Pr4Se3S2
_symmetry_space_group_name_H-M 'P 1'
_symmetry_Int_Tables_number 1
_cell_length_a 8.4450
_cell_length_b 8.4450
_cell_length_c 8.0550
_cell_angle_alpha 90.00
_cell_angle_beta 90.00
_cell_angle_gamma 119.82
loop_
_symmetry_equiv_pos_as_xyz
'x,y,z'
loop_
_atom_site_label
_atom_site_type_symbol
_atom_site_fract_x
_atom_site_fract_y
_atom_site_fract_z
_atom_site_occupancy
Pr1 Pr 0.2101 0.7899 0.9676 1
Pr2 Pr 0.2490 0.2510 0.7500 1
Pr3 Pr 0.2510 0.2490 0.2500 1
Pr4 Pr 0.2899 0.7101 0.4676 1
Pr5 Pr 0.7101 0.2899 0.5324 1
Pr6 Pr 0.7490 0.7510 0.7500 1
Pr7 Pr 0.7510 0.7490 0.2500 1
Pr8 Pr 0.7899 0.2101 0.0324 1
Se1 Se 0.0000 0.0000 0.0000 1
Se2 Se 0.0483 0.4517 0.7500 1
Se3 Se 0.4517 0.0483 0.2500 1
Se4 Se 0.5000 0.5000 0.5000 1
Se5 Se 0.5483 0.9517 0.7500 1
Se6 Se 0.9517 0.5483 0.2500 1
S1 S 0.1086 0.8914 0.6237 1
S2 S 0.3914 0.6086 0.1237 1
S3 S 0.6086 0.3914 0.8763 1
S4 S 0.8914 0.1086 0.3763 1
# Density of states at the Fermi level: 7.867 states/eV per cell
# Space-group type: Cmce
# E above lowest polymorph: 45 meV/atom


# PBE Pr4SeS5, relaxed
data_Pr4SeS5
_symmetry_space_group_name_H-M 'P 1'
_symmetry_Int_Tables_number 1
_cell_length_a 9.4770
_cell_length_b 9.4770
_cell_length_c 9.4770
_cell_angle_alpha 153.85
_cell_angle_beta 130.57
_cell_angle_gamma 56.77
loop_
_symmetry_equiv_pos_as_xyz
'x,y,z'
loop_
_atom_site_label
_atom_site_type_symbol
_atom_site_fract_x
_atom_site_fract_y
_atom_site_fract_z
_atom_site_occupancy
Pr1 Pr 0.2124 0.2124 0.0000 1
Pr2 Pr 0.2615 0.5000 0.7615 1
Pr3 Pr 0.7385 0.5000 0.2385 1
Pr4 Pr 0.7876 0.7876 0.0000 1
Se1 Se 0.0000 0.0000 0.0000 1
S1 S 0.0634 0.3325 0.7309 1
S2 S 0.3984 0.6675 0.7309 1
S3 S 0.5000 0.0000 0.5000 1
S4 S 0.6016 0.3325 0.2691 1
S5 S 0.9366 0.6675 0.2691 1
# Space-group type: Immm
# VASP energy: -0.462 Ry/atom


Which total moment belongs to each record? In order, 1.27 0.00 0.00 0.00 0.00 0.69 0.00 0.00 Bohr magnetons per cell.